# 1
This record from Alexandria via LeMat-Bulk describes a relaxed structure of Pr2Si. The functional is GGA-PBE.

Output
* total energy: -5.32 eV/atom
* calculated volume: 26.55 A^3/atom
* space group: Fmmm (69)
* formation energy (no corrections): -0.33 eV/atom

Cell: 4.015 4.015 5.697 Å, 110.63 110.63 89.92°
Fractional positions:
Pr: 0.149 0.149 0.298
Pr: 0.851 0.851 0.702
Si: 0.500 0.500 0.000



# 2
This record from Alexandria via LeMat-Bulk describes a relaxed structure of Ce3Si4Pt. The functional is GGA-PBE.

Output
* total energy: -6.35 eV/atom
* calculated volume: 22.87 A^3/atom
* space group: Immm (71)
* formation energy (no corrections): -0.66 eV/atom

Cell: 4.426 5.837 7.974 Å, 111.47 106.11 90.00°
Site moments in Bohr magnetons follow the coordinates.
Fractional positions:
Ce: 0.187 0.187 0.375  0.50
Ce: 0.813 0.813 0.625  0.50
Ce: 0.000 0.500 0.000  0.58
Si: 0.380 0.585 0.760  0.00
Si: 0.620 0.415 0.240  0.00
Si: 0.620 0.825 0.240  0.00
Si: 0.380 0.175 0.760  0.00
Pt: 0.500 0.000 0.000  0.01



# 3
This record from Alexandria via LeMat-Bulk describes a relaxed structure of RbLiBMo2. The functional is GGA-PBE.

Output
* total energy: -3.63 eV/atom
* calculated volume: 18.82 A^3/atom
* space group: P4/mmm (123)
* energy of formation from the pure elements: 13.08 eV/f.u.

Cell: 4.553 4.540 4.553 Å, 90.00 90.00 90.00°
Site moments in Bohr magnetons follow the coordinates.
Fractional positions:
Mo: 0.000 0.000 0.500  1.59
Mo: 0.500 0.000 0.000  1.58
B: 0.500 0.500 0.500  -0.13
Rb: 0.000 0.500 0.000  0.07
Li: 0.000 0.000 0.000  0.04



# 4
This record from Alexandria via LeMat-Bulk describes a relaxed structure of MnZn2Fe. The functional is GGA-PBE.

Output
* total energy: -4.77 eV/atom
* calculated volume: 12.12 A^3/atom
* space group: R3m (160)
* energy of formation from the pure elements: 1.09 eV/f.u.

Cell: 2.567 2.567 8.624 Å, 81.44 81.44 60.00°
Fractional positions:
Mn: 0.667 0.667 0.000
Zn: 0.084 0.084 0.747
Zn: 0.249 0.249 0.253
Fe: 0.500 0.500 0.500



# 5
This record from Alexandria via LeMat-Bulk describes a relaxed structure of Ta2Al2Pb. The functional is GGA-PBE.

Output
* total energy: -6.61 eV/atom
* calculated volume: 18.54 A^3/atom
* space group: P4/mbm (127)
* energy of formation from the pure elements: 1.84 eV/f.u.

Cell: 7.199 7.199 3.578 Å, 90.00 90.00 90.00°
Fractional positions:
Pb: 0.000 0.000 0.000
Pb: 0.500 0.500 0.000
Al: 0.377 0.877 0.000
Al: 0.877 0.623 0.000
Al: 0.623 0.123 0.000
Al: 0.123 0.377 0.000
Ta: 0.173 0.673 0.500
Ta: 0.673 0.827 0.500
Ta: 0.827 0.327 0.500
Ta: 0.327 0.173 0.500



# 6
This record from Alexandria via LeMat-Bulk describes a relaxed structure of Pu2ScUSe4. The functional is GGA-PBE.

Output
* total energy: -8.92 eV/atom
* calculated volume: 23.64 A^3/atom
* space group: P2/m (10)
* formation energy (no corrections): -1.40 eV/atom

Cell: 4.017 7.073 7.032 Å, 108.80 90.00 90.00°
Site moments in Bohr magnetons follow the coordinates.
Fractional positions:
Pu: 0.500 0.000 0.500  5.38
Pu: 0.000 0.500 0.500  5.50
Sc: 0.000 0.000 0.000  0.05
U: 0.500 0.500 0.000  2.56
Se: 0.500 0.237 0.236  -0.05
Se: 0.500 0.763 0.764  -0.05
Se: 0.000 0.243 0.757  -0.07
Se: 0.000 0.757 0.243  -0.07



# 7
This record from Alexandria via LeMat-Bulk describes a relaxed structure of ReTe2IN. The functional is GGA-PBE.

Output
* total energy: -5.31 eV/atom
* calculated volume: 23.44 A^3/atom
* space group: P4/mmm (123)
* formation energy (no corrections): 0.41 eV/atom

Cell: 5.557 5.557 3.795 Å, 90.00 90.00 90.00°
Site moments in Bohr magnetons follow the coordinates.
Fractional positions:
I: 0.500 0.500 0.500  0.00
Re: 0.000 0.000 0.000  0.25
Te: 0.000 0.500 0.000  0.01
Te: 0.500 0.000 0.000  0.01
N: 0.000 0.000 0.500  -0.01



# 8
This record from Alexandria via LeMat-Bulk describes a relaxed structure of VZn2B2Rh5. The functional is GGA-PBE.

Output
* total energy: -6.53 eV/atom
* calculated volume: 12.71 A^3/atom
* space group: P4/mbm (127)
* energy of formation from the pure elements: -3.48 eV/f.u.

Cell: 2.862 9.424 9.424 Å, 90.00 90.00 90.00°
Site moments in Bohr magnetons follow the coordinates.
Fractional positions:
V: 0.000 0.000 0.000  0.52
V: 0.000 0.500 0.500  0.52
Zn: 0.000 0.677 0.177  0.00
Zn: 0.000 0.323 0.823  0.00
Zn: 0.000 0.177 0.323  0.00
Zn: 0.000 0.823 0.677  0.00
B: 0.000 0.124 0.624  0.00
B: 0.000 0.876 0.376  0.00
B: 0.000 0.624 0.876  0.00
B: 0.000 0.376 0.124  0.00
Rh: 0.500 0.213 0.074  -0.01
Rh: 0.500 0.787 0.926  -0.01
Rh: 0.500 0.074 0.787  -0.01
Rh: 0.500 0.713 0.426  -0.01
Rh: 0.500 0.926 0.213  -0.01
Rh: 0.500 0.287 0.574  -0.01
Rh: 0.500 0.574 0.713  -0.01
Rh: 0.500 0.426 0.287  -0.01
Rh: 0.500 0.500 0.000  -0.02
Rh: 0.500 0.000 0.500  -0.02



# 9
This record from Alexandria via LeMat-Bulk describes a relaxed structure of Sm15Er4Al. The functional is GGA-PBE.

Output
* total energy: -4.65 eV/atom
* calculated volume: 32.05 A^3/atom
* space group: P4/mmm (123)
* energy of formation from the pure elements: -0.24 eV/f.u.

Cell: 5.030 5.030 25.339 Å, 90.00 90.00 90.00°
Fractional positions:
Sm: 0.500 0.500 0.000
Sm: 0.500 0.500 0.195
Sm: 0.500 0.500 0.398
Sm: 0.500 0.500 0.602
Sm: 0.500 0.500 0.805
Sm: 0.500 0.000 0.094
Sm: 0.500 0.000 0.297
Sm: 0.500 0.000 0.500
Sm: 0.500 0.000 0.703
Sm: 0.500 0.000 0.906
Sm: 0.000 0.500 0.094
Sm: 0.000 0.500 0.297
Sm: 0.000 0.500 0.500
Sm: 0.000 0.500 0.703
Sm: 0.000 0.500 0.906
Er: 0.000 0.000 0.196
Er: 0.000 0.000 0.399
Er: 0.000 0.000 0.601
Er: 0.000 0.000 0.804
Al: 0.000 0.000 0.000



# 10
This record from Alexandria via LeMat-Bulk describes a relaxed structure of Pa2Ge8Rh. The functional is GGA-PBE.

Output
* total energy: -6.13 eV/atom
* calculated volume: 18.99 A^3/atom
* space group: P4/mmm (123)
* energy of formation from the pure elements: -4.12 eV/f.u.

Cell: 4.312 4.312 11.235 Å, 90.00 90.00 90.00°
Fractional positions:
Ge: 0.000 0.500 0.500
Ge: 0.500 0.000 0.500
Ge: 0.500 0.500 0.312
Ge: 0.500 0.500 0.688
Ge: 0.000 0.500 0.126
Ge: 0.500 0.000 0.126
Ge: 0.000 0.500 0.874
Ge: 0.500 0.000 0.874
Pa: 0.000 0.000 0.316
Pa: 0.000 0.000 0.684
Rh: 0.000 0.000 0.000



# 11
This record from Alexandria via LeMat-Bulk describes a relaxed structure of Ca4Pd3. The functional is GGA-PBE.

Output
* total energy: -3.98 eV/atom
* calculated volume: 25.14 A^3/atom
* space group: R-3m (166)
* energy of formation from the pure elements: -4.28 eV/f.u.

Cell: 4.994 4.994 8.643 Å, 73.21 73.21 60.00°
Fractional positions:
Ca: 0.625 0.625 0.125
Ca: 0.875 0.875 0.374
Ca: 0.125 0.125 0.626
Ca: 0.375 0.375 0.875
Pd: 0.251 0.251 0.246
Pd: 0.749 0.749 0.754
Pd: 0.000 0.000 0.000



# 12
This record from Alexandria via LeMat-Bulk describes a relaxed structure of MnBeSi2. The functional is GGA-PBE.

Output
* total energy: -5.89 eV/atom
* calculated volume: 10.91 A^3/atom
* space group: P4/mmm (123)
* formation energy (no corrections): 0.04 eV/atom

Cell: 3.576 3.494 3.494 Å, 90.00 90.00 90.00°
Site moments in Bohr magnetons follow the coordinates.
Fractional positions:
Be: 0.500 0.500 0.000  -0.02
Si: 0.000 0.000 0.000  -0.03
Si: 0.000 0.500 0.500  -0.03
Mn: 0.500 0.000 0.500  1.09